*1*
CaSmO: relaxed, PBE.

Summary:
D(E_F) (states/eV per cell): 11.7

Unit cell a=13.3006 b=3.5318 c=6.3627 alpha=90.00 beta=116.24 gamma=90.00
Space group C2/m (No. 12)
One atom of each set of equivalent atoms:
Ca 0.1371 0.0000 0.4811 [4 per cell]
Sm 0.1401 0.5000 0.9753 [4 per cell]
O 0.2481 0.0000 0.2706 [4 per cell]

***

*2*
CaSmO: relaxed, PBE.

Summary:
D(E_F) (states/eV per cell): 1.2

Unit cell a=3.5295 b=3.5295 c=6.1774 alpha=90.00 beta=90.00 gamma=120.00
Space group P3m1 (No. 156)
One atom of each set of equivalent atoms:
Ca 0.0000 0.0000 0.0000 [1 per cell]
Sm 0.6667 0.3333 0.5387 [1 per cell]
O 0.3333 0.6667 0.7881 [1 per cell]

***

Relative stability in kJ/mol of atoms, measured from the most stable structure: *1* 1.5; *2* 0.0